This record from Alexandria via LeMat-Bulk describes a relaxed MnOs crystal. The functional is PBE.

Properties
Fermi-level density of states, states/eV/cell: 5.33
Energy, eV per atom: -8.956

CIF file:
```
data_MnOs
_chemical_formula_sum 'Mn2 Os2'
_cell_length_a 3.9746
_cell_length_b 3.9746
_cell_length_c 5.0778
_cell_angle_alpha 90.00
_cell_angle_beta 90.00
_cell_angle_gamma 120.00
_space_group_name_H-M_alt 'P 63 m c'
_space_group_IT_number 186
_space_group_name_Hall 'P 6c -2c'
loop_
_atom_site_label
_atom_site_type_symbol
_atom_site_fract_x
_atom_site_fract_y
_atom_site_fract_z
Mn1 Mn 0.3333 0.6667 0.0000
Os1 Os 0.3333 0.6667 0.4431
```